Record 1
AlCoGe2O6: relaxed, PBE+U.

Spin magnetization   2.08 μB per formula unit
V   256.6 Å³/cell
Total DFT energy (no corrections)   -6.49 eV per atom
DOS at the Fermi energy   0.258 states/eV/atom

a = 5.3990 Å, b = 7.1585 Å, c = 7.1585 Å
α = 90.27°, β = 74.72°, γ = 74.72°
Closest atoms and distances in Å follow each position.
Fractional coordinates of all 20 atoms:
Al1 0.2500 0.1987 0.8013  4 O 1.76-1.79
Al2 0.7500 0.8013 0.1987  4 O 1.76-1.79
Co1 0.2500 0.8996 0.1004  2 O 2.12
Co2 0.7500 0.1004 0.8996  2 O 2.12
Ge1 0.2959 0.7747 0.6037  4 O 1.75-1.79
Ge2 0.2041 0.3963 0.2253  4 O 1.75-1.79
Ge3 0.7041 0.2253 0.3963  4 O 1.75-1.79
Ge4 0.7959 0.6037 0.7747  4 O 1.75-1.79
O1 0.1666 0.9738 0.7867  1 Ge 1.79, 1 Al 1.79
O2 0.3334 0.2133 0.0262  1 Ge 1.79, 1 Al 1.79
O3 0.8334 0.0262 0.2133  1 Ge 1.79, 1 Al 1.79
O4 0.6666 0.7867 0.9738  1 Ge 1.79, 1 Al 1.79
O5 0.4388 0.8357 0.3716  1 Ge 1.75, 1 Al 1.76
O6 0.0612 0.6284 0.1643  1 Ge 1.75, 1 Al 1.76
O7 0.5612 0.1643 0.6284  1 Ge 1.75, 1 Al 1.76
O8 0.9388 0.3716 0.8357  1 Ge 1.75, 1 Al 1.76
O9 0.0192 0.6910 0.5890  2 Ge 1.78
O10 0.4808 0.4110 0.3090  2 Ge 1.78
O11 0.9808 0.3090 0.4110  2 Ge 1.78
O12 0.5192 0.5890 0.6910  2 Ge 1.78

Record 2
Al2CoGeO6: relaxed, PBE+U.

Spin magnetization   3.00 μB per formula unit
V   207.5 Å³/cell
Total DFT energy (no corrections)   -6.86 eV per atom
DOS at the Fermi energy   0.000 states/eV/atom

a = 5.0836 Å, b = 6.4337 Å, c = 6.4337 Å
α = 86.80°, β = 83.50°, γ = 83.50°
Closest atoms and distances in Å follow each position.
Fractional coordinates of all 20 atoms:
Al1 0.2018 0.7815 0.5932  4 O 1.76-1.81
Al2 0.2982 0.4068 0.2185  4 O 1.76-1.81
Al3 0.7982 0.2185 0.4068  4 O 1.76-1.81
Al4 0.7018 0.5932 0.7815  4 O 1.76-1.81
Co1 0.2500 0.9150 0.0850  6 O 2.09-2.15
Co2 0.7500 0.0850 0.9150  6 O 2.09-2.15
Ge1 0.2500 0.2688 0.7312  6 O 1.85-2.00
Ge2 0.7500 0.7312 0.2688  6 O 1.85-2.00
O1 0.1351 0.9864 0.7754  1 Al 1.79, 1 Ge 1.97
O2 0.3649 0.2246 0.0136  1 Al 1.79, 1 Ge 1.97
O3 0.8649 0.0136 0.2246  1 Al 1.79, 1 Ge 1.97
O4 0.6351 0.7754 0.9864  1 Al 1.79, 1 Ge 1.97
O5 0.4118 0.8447 0.3682  1 Al 1.76, 1 Ge 1.85
O6 0.0882 0.6318 0.1553  1 Al 1.76, 1 Ge 1.85
O7 0.5882 0.1553 0.6318  1 Al 1.76, 1 Ge 1.85
O8 0.9118 0.3682 0.8447  1 Al 1.76, 1 Ge 1.85
O9 0.8756 0.7131 0.5535  2 Al 1.81, 1 Ge 2.00
O10 0.6244 0.4465 0.2869  2 Al 1.81, 1 Ge 2.00
O11 0.1244 0.2869 0.4465  2 Al 1.81, 1 Ge 2.00
O12 0.3756 0.5535 0.7131  2 Al 1.81, 1 Ge 2.00

Record 3
Al2Co3GeO8: relaxed, PBE+U.

Spin magnetization   8.95 μB per formula unit
V   143.6 Å³/cell
Total DFT energy (no corrections)   -6.62 eV per atom

a = 5.8899 Å, b = 5.8899 Å, c = 5.8899 Å
α = 120.89°, β = 119.92°, γ = 89.30°
Closest atoms and distances in Å follow each position.
Fractional coordinates of all 14 atoms:
Al1 0.6150 0.3804 0.2347  4 O 1.83-2.01
Al2 0.1457 0.3804 0.7653  4 O 1.83-2.01
Co1 0.2431 0.7431 0.5000  4 O 1.95-1.97
Co2 0.6226 0.3785 0.7560  6 O 2.01-2.17
Co3 0.6226 0.8666 0.2440  6 O 2.01-2.17
Ge1 0.0102 0.0102 0.0000  4 O 1.82-1.87
O1 0.8813 0.1431 0.2618  1 Ge 1.87, 2 Al 2.09
O2 0.8813 0.6195 0.7382  1 Ge 1.87, 2 Al 2.09
O3 0.8926 0.1403 0.7523  1 Ge 1.82, 1 Al 2.01
O4 0.3880 0.1403 0.2477  1 Ge 1.82, 1 Al 2.01
O5 0.3745 0.5933 0.2188  2 Al 1.88, 2 Co 1.97-2.08
O6 0.3745 0.1557 0.7812  2 Al 1.88, 2 Co 1.97-2.08
O7 0.3591 0.5992 0.7599  1 Al 1.83, 3 Co 1.95-2.01
O8 0.8393 0.5992 0.2401  1 Al 1.83, 3 Co 1.95-2.01